A relaxed structure of TaCuAgPb, computed with PBE.

Cell: 6.699 6.699 6.699 Å, 90.00 90.00 90.00°
Positions (direct):
Ta  0.000  0.000  0.000
Ta  0.000  0.500  0.500
Ta  0.500  0.000  0.500
Ta  0.500  0.500  0.000
Cu  0.000  0.000  0.500
Cu  0.000  0.500  0.000
Cu  0.500  0.000  0.000
Cu  0.500  0.500  0.500
Ag  0.250  0.250  0.750
Ag  0.250  0.750  0.250
Ag  0.750  0.250  0.250
Ag  0.750  0.750  0.750
Pb  0.250  0.250  0.250
Pb  0.250  0.750  0.750
Pb  0.750  0.250  0.750
Pb  0.750  0.750  0.250

## Properties
Total energy in eV/atom: -4.87
Magnetic moment in Bohr magnetons per cell: 3.14
Symmetry: F-43m

---

A relaxed structure of CuTcAgPb, computed with PBE.

Cell: 6.509 6.509 6.509 Å, 90.00 90.00 90.00°
Positions (direct):
Cu  0.000  0.000  0.000
Cu  0.000  0.500  0.500
Cu  0.500  0.000  0.500
Cu  0.500  0.500  0.000
Tc  0.000  0.000  0.500
Tc  0.000  0.500  0.000
Tc  0.500  0.000  0.000
Tc  0.500  0.500  0.500
Ag  0.250  0.250  0.250
Ag  0.250  0.750  0.750
Ag  0.750  0.250  0.750
Ag  0.750  0.750  0.250
Pb  0.250  0.250  0.750
Pb  0.250  0.750  0.250
Pb  0.750  0.250  0.250
Pb  0.750  0.750  0.750

## Properties
Total energy in eV/atom: -4.57
Magnetic moment in Bohr magnetons per cell: 0.08
Symmetry: F-43m

---

A relaxed structure of CuAgPbW, computed with PBE.

Cell: 6.632 6.632 6.632 Å, 90.00 90.00 90.00°
Positions (direct):
Cu  0.000  0.000  0.000
Cu  0.000  0.500  0.500
Cu  0.500  0.000  0.500
Cu  0.500  0.500  0.000
Ag  0.250  0.250  0.250
Ag  0.250  0.750  0.750
Ag  0.750  0.250  0.750
Ag  0.750  0.750  0.250
Pb  0.250  0.250  0.750
Pb  0.250  0.750  0.250
Pb  0.750  0.250  0.250
Pb  0.750  0.750  0.750
W  0.000  0.000  0.500
W  0.000  0.500  0.000
W  0.500  0.000  0.000
W  0.500  0.500  0.500

## Properties
Total energy in eV/atom: -4.88
Magnetic moment in Bohr magnetons per cell: 7.12
Symmetry: F-43m

---

A relaxed structure of YCuAgPb, computed with PBE.

Cell: 6.996 6.996 6.996 Å, 90.00 90.00 90.00°
Positions (direct):
Y  0.000  0.000  0.000
Y  0.000  0.500  0.500
Y  0.500  0.000  0.500
Y  0.500  0.500  0.000
Cu  0.250  0.250  0.750
Cu  0.250  0.750  0.250
Cu  0.750  0.250  0.250
Cu  0.750  0.750  0.750
Ag  0.250  0.250  0.250
Ag  0.250  0.750  0.750
Ag  0.750  0.250  0.750
Ag  0.750  0.750  0.250
Pb  0.000  0.000  0.500
Pb  0.000  0.500  0.000
Pb  0.500  0.000  0.000
Pb  0.500  0.500  0.500

## Properties
Total energy in eV/atom: -4.38
Magnetic moment in Bohr magnetons per cell: 0.00
Symmetry: F-43m

---

A relaxed structure of Y2CuAgPb2, computed with PBE.

Cell: 8.242 4.743 15.753 Å, 90.00 99.77 90.00°
Positions (direct):
Y  0.000  0.000  0.000
Y  0.005  0.500  0.494
Y  0.240  0.000  0.740
Y  0.247  0.500  0.244
Y  0.487  0.000  0.488
Y  0.499  0.500  0.000
Y  0.745  0.000  0.241
Y  0.755  0.500  0.742
Cu  0.061  0.000  0.184
Cu  0.061  0.500  0.679
Cu  0.308  0.500  0.429
Cu  0.560  0.500  0.183
Ag  0.310  0.000  0.932
Ag  0.559  0.000  0.679
Ag  0.809  0.000  0.430
Ag  0.812  0.500  0.933
Pb  0.122  0.500  0.865
Pb  0.126  0.000  0.366
Pb  0.365  0.500  0.614
Pb  0.373  0.000  0.124
Pb  0.614  0.500  0.366
Pb  0.622  0.000  0.869
Pb  0.875  0.500  0.125
Pb  0.879  0.000  0.619

## Properties
Total energy in eV/atom: -4.88
Magnetic moment in Bohr magnetons per cell: 0.00
Symmetry: Pm

---

A relaxed structure of YCuAgPb, computed with PBE.

Cell: 7.010 7.010 7.010 Å, 90.00 90.00 90.00°
Positions (direct):
Y  0.000  0.000  0.000
Y  0.000  0.500  0.500
Y  0.500  0.000  0.500
Y  0.500  0.500  0.000
Cu  0.000  0.000  0.500
Cu  0.000  0.500  0.000
Cu  0.500  0.000  0.000
Cu  0.500  0.500  0.500
Ag  0.250  0.250  0.750
Ag  0.250  0.750  0.250
Ag  0.750  0.250  0.250
Ag  0.750  0.750  0.750
Pb  0.250  0.250  0.250
Pb  0.250  0.750  0.750
Pb  0.750  0.250  0.750
Pb  0.750  0.750  0.250

## Properties
Total energy in eV/atom: -4.29
Magnetic moment in Bohr magnetons per cell: 0.00
Symmetry: F-43m

---

A relaxed structure of ZnCuAgPb, computed with PBE.

Cell: 6.708 6.708 6.708 Å, 90.00 90.00 90.00°
Positions (direct):
Zn  0.000  0.000  0.000
Zn  0.000  0.500  0.500
Zn  0.500  0.000  0.500
Zn  0.500  0.500  0.000
Cu  0.000  0.000  0.500
Cu  0.000  0.500  0.000
Cu  0.500  0.000  0.000
Cu  0.500  0.500  0.500
Ag  0.250  0.250  0.750
Ag  0.250  0.750  0.250
Ag  0.750  0.250  0.250
Ag  0.750  0.750  0.750
Pb  0.250  0.250  0.250
Pb  0.250  0.750  0.750
Pb  0.750  0.250  0.750
Pb  0.750  0.750  0.250

## Properties
Total energy in eV/atom: -2.65
Symmetry: F-43m

---

A relaxed structure of ZnCuAgPb, computed with PBE.

Cell: 6.714 6.714 6.714 Å, 90.00 90.00 90.00°
Positions (direct):
Zn  0.000  0.000  0.000
Zn  0.000  0.500  0.500
Zn  0.500  0.000  0.500
Zn  0.500  0.500  0.000
Cu  0.250  0.250  0.750
Cu  0.250  0.750  0.250
Cu  0.750  0.250  0.250
Cu  0.750  0.750  0.750
Ag  0.250  0.250  0.250
Ag  0.250  0.750  0.750
Ag  0.750  0.250  0.750
Ag  0.750  0.750  0.250
Pb  0.000  0.000  0.500
Pb  0.000  0.500  0.000
Pb  0.500  0.000  0.000
Pb  0.500  0.500  0.500

## Properties
Total energy in eV/atom: -2.65
Symmetry: F-43m